DFT (PBEsol) results for an optimized crystal structure of Fe2HgCl.

```
Fe2HgCl
1.0
4.6066 0.0000 0.0000
0.0000 4.6066 0.0000
0.0000 0.0000 2.9252
Fe Hg Cl
2 1 1
direct
0.0000 0.5000 0.0000
0.5000 0.0000 0.0000
0.0000 0.0000 0.5000
0.5000 0.5000 0.5000
```

Calculated values
Total DFT energy (no corrections) = -4.561 eV per atom
E_form (uncorrected) = 0.56 eV/atom
Theoretical density = 9302 kg/m3